(1)
# BaTlAgBr6 (PBE-GGA, optimized geometry)
data_BaTlAgBr6
_cell_length_a 7.385
_cell_length_b 12.702
_cell_length_c 6.999
_cell_angle_alpha 90.00
_cell_angle_beta 90.32
_cell_angle_gamma 90.00
_space_group_name_H-M_alt 'C 1 2 1'
_space_group_IT_number 5
_space_group_name_Hall 'C 2y'
loop_
_atom_site_label
_atom_site_fract_x
_atom_site_fract_y
_atom_site_fract_z
_atom_site_occupancy
Ba1 0.000 0.000 0.000 1
Tl1 0.000 0.333 0.500 1
Ag1 0.000 0.668 0.500 1
Br1 0.135 0.497 0.732 1
Br2 0.176 0.185 0.732 1
Br3 0.189 0.820 0.731 1
# raw formation energy = -0.976 eV per atom

(2)
# TlCu2AsCl6 (PBE-GGA, optimized geometry)
data_TlCu2AsCl6
_cell_length_a 6.790
_cell_length_b 6.799
_cell_length_c 8.023
_cell_angle_alpha 65.09
_cell_angle_beta 65.28
_cell_angle_gamma 60.17
_space_group_name_H-M_alt 'P -1'
_space_group_IT_number 2
_space_group_name_Hall '-P 1'
loop_
_atom_site_label
_atom_site_fract_x
_atom_site_fract_y
_atom_site_fract_z
_atom_site_occupancy
Tl1 0.000 0.000 0.000 1
Cu1 0.231 0.228 0.308 1
As1 0.500 0.500 0.500 1
Cl1 0.111 0.719 0.710 1
Cl2 0.281 0.538 0.289 1
Cl3 0.460 0.111 0.712 1
# raw formation energy = -0.625 eV per atom

(3)
# Dy4Pd2O (PBE-GGA, optimized geometry)
data_Dy4Pd2O
_cell_length_a 4.629
_cell_length_b 4.629
_cell_length_c 14.529
_cell_angle_alpha 90.00
_cell_angle_beta 90.00
_cell_angle_gamma 90.00
_space_group_name_H-M_alt 'I 4/m m m'
_space_group_IT_number 139
_space_group_name_Hall '-I 4 2'
loop_
_atom_site_label
_atom_site_fract_x
_atom_site_fract_y
_atom_site_fract_z
_atom_site_occupancy
Dy1 0.000 0.000 0.183 1
Dy2 0.000 0.500 0.000 1
Pd1 0.000 0.000 0.371 1
O1 0.000 0.000 0.000 1
# raw formation energy = -1.285 eV per atom

(4)
# Ca4Ga2Sb (PBE-GGA, optimized geometry)
data_Ca4Ga2Sb
_cell_length_a 6.017
_cell_length_b 6.017
_cell_length_c 14.460
_cell_angle_alpha 90.00
_cell_angle_beta 90.00
_cell_angle_gamma 90.00
_space_group_name_H-M_alt 'I 4/m m m'
_space_group_IT_number 139
_space_group_name_Hall '-I 4 2'
loop_
_atom_site_label
_atom_site_fract_x
_atom_site_fract_y
_atom_site_fract_z
_atom_site_occupancy
Ca1 0.000 0.000 0.208 1
Ca2 0.000 0.500 0.000 1
Ga1 0.000 0.000 0.413 1
Sb1 0.000 0.000 0.000 1
# raw formation energy = -0.255 eV per atom

(5)
# LiNp2Ag3Se6 (PBE-GGA, optimized geometry)
data_LiNp2Ag3Se6
_cell_length_a 16.938
_cell_length_b 4.197
_cell_length_c 7.965
_cell_angle_alpha 90.00
_cell_angle_beta 99.42
_cell_angle_gamma 90.00
_space_group_name_H-M_alt 'C 1 2/m 1'
_space_group_IT_number 12
_space_group_name_Hall '-C 2y'
loop_
_atom_site_label
_atom_site_fract_x
_atom_site_fract_y
_atom_site_fract_z
_atom_site_occupancy
Li1 0.000 0.000 0.000 1
Np1 0.158 0.500 0.322 1
Ag1 0.000 0.000 0.500 1
Ag2 0.172 0.500 0.826 1
Se1 0.004 0.500 0.752 1
Se2 0.165 0.000 0.086 1
Se3 0.170 0.000 0.571 1
# raw formation energy = -0.682 eV per atom

(6)
# K2BeSO (PBE-GGA, optimized geometry)
data_K2BeSO
_cell_length_a 5.447
_cell_length_b 5.447
_cell_length_c 3.900
_cell_angle_alpha 90.00
_cell_angle_beta 90.00
_cell_angle_gamma 90.00
_space_group_name_H-M_alt 'P 4/m m m'
_space_group_IT_number 123
_space_group_name_Hall '-P 4 2'
loop_
_atom_site_label
_atom_site_fract_x
_atom_site_fract_y
_atom_site_fract_z
_atom_site_occupancy
K1 0.000 0.500 0.000 1
Be1 0.000 0.000 0.500 1
S1 0.500 0.500 0.500 1
O1 0.500 0.500 0.000 1
# raw formation energy = 0.001 eV per atom

(7)
# K2BeCS (PBE-GGA, optimized geometry)
data_K2BeCS
_cell_length_a 6.213
_cell_length_b 6.213
_cell_length_c 3.515
_cell_angle_alpha 90.00
_cell_angle_beta 90.00
_cell_angle_gamma 90.00
_space_group_name_H-M_alt 'P 4/m m m'
_space_group_IT_number 123
_space_group_name_Hall '-P 4 2'
loop_
_atom_site_label
_atom_site_fract_x
_atom_site_fract_y
_atom_site_fract_z
_atom_site_occupancy
K1 0.000 0.500 0.000 1
Be1 0.000 0.000 0.500 1
C1 0.500 0.500 0.500 1
S1 0.500 0.500 0.000 1
# raw formation energy = 0.990 eV per atom

(8)
# Ta6Ga3P (PBE-GGA, optimized geometry)
data_Ta6Ga3P
_cell_length_a 6.059
_cell_length_b 6.759
_cell_length_c 10.405
_cell_angle_alpha 90.00
_cell_angle_beta 124.49
_cell_angle_gamma 90.00
_space_group_name_H-M_alt 'P 1 21/c 1'
_space_group_IT_number 14
_space_group_name_Hall '-P 2ybc'
loop_
_atom_site_label
_atom_site_fract_x
_atom_site_fract_y
_atom_site_fract_z
_atom_site_occupancy
Ta1 0.045 0.021 0.245 1
Ta2 0.183 0.665 0.064 1
Ta3 0.426 0.151 0.061 1
Ga1 0.331 0.163 0.752 1
Ga2 0.500 0.000 0.500 1
P1 0.000 0.000 0.000 1
# formation enthalpy at 0 K = -0.05 eV/atom

(9)
# Ba4Sb2O (PBE-GGA, optimized geometry)
data_Ba4Sb2O
_cell_length_a 5.329
_cell_length_b 5.329
_cell_length_c 18.444
_cell_angle_alpha 90.00
_cell_angle_beta 90.00
_cell_angle_gamma 90.00
_space_group_name_H-M_alt 'I 4/m m m'
_space_group_IT_number 139
_space_group_name_Hall '-I 4 2'
loop_
_atom_site_label
_atom_site_fract_x
_atom_site_fract_y
_atom_site_fract_z
_atom_site_occupancy
Ba1 0.000 0.000 0.171 1
Ba2 0.000 0.500 0.000 1
Sb1 0.000 0.000 0.362 1
O1 0.000 0.000 0.000 1
# relative energy among the computed polymorphs = 0 meV per atom
# raw formation energy = -1.497 eV per atom

(10)
# BP2C3 (PBE-GGA, optimized geometry)
data_BP2C3
_cell_length_a 4.138
_cell_length_b 4.217
_cell_length_c 4.228
_cell_angle_alpha 81.07
_cell_angle_beta 76.93
_cell_angle_gamma 76.68
_space_group_name_H-M_alt 'P 1'
_space_group_IT_number 1
_space_group_name_Hall 'P 1'
loop_
_atom_site_label
_atom_site_fract_x
_atom_site_fract_y
_atom_site_fract_z
_atom_site_occupancy
B1 0.000 0.000 0.000 1
P1 0.133 0.660 0.725 1
P2 0.630 0.525 0.318 1
C1 0.093 0.322 0.063 1
C2 0.418 0.246 0.178 1
C3 0.646 0.941 0.163 1
# formation enthalpy at 0 K = 0.62 eV/atom
# relative energy among the computed polymorphs = 309 meV per atom

(11)
# Ti2CrGa2 (PBE-GGA, optimized geometry)
data_Ti2CrGa2
_cell_length_a 6.620
_cell_length_b 6.620
_cell_length_c 3.494
_cell_angle_alpha 90.00
_cell_angle_beta 90.00
_cell_angle_gamma 90.00
_space_group_name_H-M_alt 'P 4/m b m'
_space_group_IT_number 127
_space_group_name_Hall '-P 4 2ab'
loop_
_atom_site_label
_atom_site_fract_x
_atom_site_fract_y
_atom_site_fract_z
_atom_site_occupancy
Ti1 0.174 0.326 0.000 1
Cr1 0.000 0.000 0.500 1
Ga1 0.132 0.632 0.500 1
# formation enthalpy at 0 K = -0.22 eV/atom

(12)
# NbTc2Os2 (PBE-GGA, optimized geometry)
data_NbTc2Os2
_cell_length_a 7.535
_cell_length_b 7.535
_cell_length_c 2.774
_cell_angle_alpha 90.00
_cell_angle_beta 90.00
_cell_angle_gamma 90.00
_space_group_name_H-M_alt 'P 4/m b m'
_space_group_IT_number 127
_space_group_name_Hall '-P 4 2ab'
loop_
_atom_site_label
_atom_site_fract_x
_atom_site_fract_y
_atom_site_fract_z
_atom_site_occupancy
Nb1 0.000 0.000 0.000 1
Tc1 0.171 0.329 0.500 1
Os1 0.124 0.624 0.000 1
# formation enthalpy at 0 K = 0.05 eV/atom
# relative energy among the computed polymorphs = 0 meV per atom

(13)
# KY3Sc (PBE-GGA, optimized geometry)
data_KY3Sc
_cell_length_a 5.795
_cell_length_b 5.795
_cell_length_c 5.795
_cell_angle_alpha 90.00
_cell_angle_beta 90.00
_cell_angle_gamma 90.00
_space_group_name_H-M_alt 'P m -3 m'
_space_group_IT_number 221
_space_group_name_Hall '-P 4 2 3'
loop_
_atom_site_label
_atom_site_fract_x
_atom_site_fract_y
_atom_site_fract_z
_atom_site_occupancy
K1 0.000 0.000 0.000 1
Y1 0.000 0.500 0.500 1
Sc1 0.500 0.500 0.500 1
# formation enthalpy at 0 K = 0.64 eV/atom
# relative energy among the computed polymorphs = 0 meV per atom

(14)
# LaIn2Au (PBE-GGA, optimized geometry)
data_LaIn2Au
_cell_length_a 4.448
_cell_length_b 4.448
_cell_length_c 22.732
_cell_angle_alpha 90.00
_cell_angle_beta 90.00
_cell_angle_gamma 90.00
_space_group_name_H-M_alt 'I -4 2 d'
_space_group_IT_number 122
_space_group_name_Hall 'I -4 2bw'
loop_
_atom_site_label
_atom_site_fract_x
_atom_site_fract_y
_atom_site_fract_z
_atom_site_occupancy
La1 0.000 0.000 0.000 1
In1 0.223 0.250 0.625 1
Au1 0.000 0.000 0.500 1
# formation enthalpy at 0 K = -0.32 eV/atom

(15)
# SmTh2Mg (PBE-GGA, optimized geometry)
data_SmTh2Mg
_cell_length_a 5.995
_cell_length_b 3.459
_cell_length_c 12.076
_cell_angle_alpha 90.00
_cell_angle_beta 99.46
_cell_angle_gamma 90.00
_space_group_name_H-M_alt 'C 1 m 1'
_space_group_IT_number 8
_space_group_name_Hall 'C -2y'
loop_
_atom_site_label
_atom_site_fract_x
_atom_site_fract_y
_atom_site_fract_z
_atom_site_occupancy
Sm1 0.000 0.000 0.000 1
Th1 0.080 0.500 0.742 1
Th2 0.418 0.000 0.255 1
Mg1 0.166 0.000 0.498 1
# formation enthalpy at 0 K = 0.11 eV/atom
# relative energy among the computed polymorphs = 45 meV per atom

(16)
# Na2UTlI8 (PBE-GGA, optimized geometry)
data_Na2UTlI8
_cell_length_a 7.275
_cell_length_b 9.919
_cell_length_c 7.713
_cell_angle_alpha 90.00
_cell_angle_beta 93.30
_cell_angle_gamma 90.00
_space_group_name_H-M_alt 'P 1 2/m 1'
_space_group_IT_number 10
_space_group_name_Hall '-P 2y'
loop_
_atom_site_label
_atom_site_fract_x
_atom_site_fract_y
_atom_site_fract_z
_atom_site_occupancy
Na1 0.000 0.245 0.000 1
U1 0.500 0.500 0.500 1
Tl1 0.500 0.000 0.500 1
I1 0.203 0.000 0.170 1
I2 0.244 0.500 0.182 1
I3 0.276 0.288 0.655 1
# raw formation energy = -0.848 eV per atom

(17)
# BaCaGa3 (PBE-GGA, optimized geometry)
data_BaCaGa3
_cell_length_a 4.543
_cell_length_b 29.162
_cell_length_c 4.352
_cell_angle_alpha 90.00
_cell_angle_beta 90.00
_cell_angle_gamma 90.00
_space_group_name_H-M_alt 'C m c m'
_space_group_IT_number 63
_space_group_name_Hall '-C 2c 2'
loop_
_atom_site_label
_atom_site_fract_x
_atom_site_fract_y
_atom_site_fract_z
_atom_site_occupancy
Ba1 0.000 0.196 0.250 1
Ca1 0.000 0.063 0.750 1
Ga1 0.000 0.349 0.250 1
Ga2 0.000 0.394 0.750 1
Ga3 0.000 0.478 0.750 1
# formation enthalpy at 0 K = -0.42 eV/atom
# relative energy among the computed polymorphs = 19 meV per atom

(18)
# Sm8SnSb2 (PBE-GGA, optimized geometry)
data_Sm8SnSb2
_cell_length_a 19.476
_cell_length_b 4.962
_cell_length_c 7.325
_cell_angle_alpha 90.00
_cell_angle_beta 99.29
_cell_angle_gamma 90.00
_space_group_name_H-M_alt 'C 1 2/m 1'
_space_group_IT_number 12
_space_group_name_Hall '-C 2y'
loop_
_atom_site_label
_atom_site_fract_x
_atom_site_fract_y
_atom_site_fract_z
_atom_site_occupancy
Sm1 0.017 0.000 0.256 1
Sm2 0.096 0.500 0.990 1
Sm3 0.163 0.500 0.524 1
Sm4 0.217 0.000 0.851 1
Sn1 0.000 0.500 0.500 1
Sb1 0.180 0.000 0.267 1
# raw formation energy = -0.485 eV per atom

(19)
# Sm2ZnCd (PBE-GGA, optimized geometry)
data_Sm2ZnCd
_cell_length_a 3.6596
_cell_length_b 3.6596
_cell_length_c 28.9221
_cell_angle_alpha 90.00
_cell_angle_beta 90.00
_cell_angle_gamma 120.00
_space_group_name_H-M_alt 'R -3 m'
_space_group_IT_number 166
_space_group_name_Hall '-R 3 2"'
loop_
_atom_site_label
_atom_site_fract_x
_atom_site_fract_y
_atom_site_fract_z
_atom_site_occupancy
Sm1 0.0000 0.0000 0.2443 1
Zn1 0.0000 0.0000 0.5000 1
Cd1 0.0000 0.0000 0.0000 1
# formation enthalpy at 0 K = -0.12 eV/atom
# relative energy among the computed polymorphs = 202 meV per atom

(20)
# Sc6Zn5Si (PBE-GGA, optimized geometry)
data_Sc6Zn5Si
_cell_length_a 4.718
_cell_length_b 14.202
_cell_length_c 6.630
_cell_angle_alpha 90.00
_cell_angle_beta 90.00
_cell_angle_gamma 90.00
_space_group_name_H-M_alt 'C m m m'
_space_group_IT_number 65
_space_group_name_Hall '-C 2 2'
loop_
_atom_site_label
_atom_site_fract_x
_atom_site_fract_y
_atom_site_fract_z
_atom_site_occupancy
Sc1 0.000 0.000 0.244 1
Sc2 0.000 0.336 0.249 1
Zn1 0.000 0.167 0.500 1
Zn2 0.000 0.176 0.000 1
Zn3 0.000 0.500 0.500 1
Si1 0.000 0.500 0.000 1
# raw formation energy = -0.433 eV per atom

(21)
# La2Ga3Cu (PBE-GGA, optimized geometry)
data_La2Ga3Cu
_cell_length_a 8.121
_cell_length_b 8.914
_cell_length_c 15.417
_cell_angle_alpha 90.00
_cell_angle_beta 90.00
_cell_angle_gamma 90.00
_space_group_name_H-M_alt 'F m m m'
_space_group_IT_number 69
_space_group_name_Hall '-F 2 2'
loop_
_atom_site_label
_atom_site_fract_x
_atom_site_fract_y
_atom_site_fract_z
_atom_site_occupancy
La1 0.239 0.000 0.000 1
La2 0.250 0.250 0.250 1
Ga1 0.000 0.000 0.333 1
Ga2 0.000 0.249 0.416 1
Cu1 0.000 0.000 0.168 1
# formation enthalpy at 0 K = -0.57 eV/atom

(22)
# Hg8BiPb2 (PBE-GGA, optimized geometry)
data_Hg8BiPb2
_cell_length_a 7.204
_cell_length_b 5.899
_cell_length_c 8.472
_cell_angle_alpha 90.00
_cell_angle_beta 104.34
_cell_angle_gamma 90.00
_space_group_name_H-M_alt 'P 1 2/m 1'
_space_group_IT_number 10
_space_group_name_Hall '-P 2y'
loop_
_atom_site_label
_atom_site_fract_x
_atom_site_fract_y
_atom_site_fract_z
_atom_site_occupancy
Hg1 0.000 0.000 0.000 1
Hg2 0.165 0.500 0.661 1
Hg3 0.320 0.000 0.809 1
Hg4 0.321 0.000 0.345 1
Hg5 0.500 0.500 0.000 1
Bi1 0.500 0.500 0.500 1
Pb1 0.159 0.500 0.172 1
# formation enthalpy at 0 K = 0.05 eV/atom

(23)
# Y4HoMg (PBE-GGA, optimized geometry)
data_Y4HoMg
_cell_length_a 17.878
_cell_length_b 3.599
_cell_length_c 6.017
_cell_angle_alpha 90.00
_cell_angle_beta 107.11
_cell_angle_gamma 90.00
_space_group_name_H-M_alt 'C 1 2/m 1'
_space_group_IT_number 12
_space_group_name_Hall '-C 2y'
loop_
_atom_site_label
_atom_site_fract_x
_atom_site_fract_y
_atom_site_fract_z
_atom_site_occupancy
Y1 0.163 0.000 0.499 1
Y2 0.167 0.500 0.010 1
Ho1 0.000 0.000 0.000 1
Mg1 0.000 0.500 0.500 1
# formation enthalpy at 0 K = 0.02 eV/atom
# relative energy among the computed polymorphs = 41 meV per atom

no.,final energy (eV/atom)
1,-2.884
2,-3.253
3,-6.106
4,-2.852
5,-5.453
6,-3.001
7,-2.865
8,-8.615
9,-4.482
10,-6.910
11,-6.512
12,-10.607
13,-4.723
14,-3.743
15,-5.181
16,-3.239
17,-3.025
18,-5.031
19,-3.028
20,-4.582
21,-4.411
22,-1.201
23,-5.314